12
Lattice="3.864 -8.345 0.000 3.864 8.345 0.000 -2.374 0.000 6.450" Properties=species:S:1:pos:R:3 comment="GGA-PBE KTlVTe3, optimized geometry" e_form_raw_ev_per_atom=-0.42 sg="C2/c (15)" e_tot_ev_per_fu=-24.6 pbc="T T T"
K 2.083 4.282 4.838
K 3.270 -4.282 1.613
Tl 3.270 1.766 1.613
Tl 2.083 -1.766 4.838
V 3.270 7.816 1.613
V 2.083 -7.816 4.838
Te 0.544 0.908 3.449
Te 3.270 5.113 1.613
Te 1.731 -0.908 0.224
Te 3.622 0.908 6.226
Te 2.083 -5.113 4.838
Te 4.809 -0.908 3.001